First-principles (PBE-GGA) data for crystalline TaCo5 at its relaxed geometry, as listed in OQMD.

Cell: 4.633 4.633 15.317 Å, 90.00 90.00 120.00°
Fractional positions:
Ta: 0.000 0.000 0.096
Ta: 0.000 0.000 0.404
Ta: 0.000 0.000 0.596
Ta: 0.000 0.000 0.904
Co: 0.000 0.500 0.000
Co: 0.000 0.500 0.500
Co: 0.164 0.327 0.250
Co: 0.164 0.836 0.250
Co: 0.327 0.164 0.750
Co: 0.333 0.667 0.127
Co: 0.333 0.667 0.373
Co: 0.333 0.667 0.662
Co: 0.333 0.667 0.838
Co: 0.500 0.000 0.000
Co: 0.500 0.000 0.500
Co: 0.500 0.500 0.000
Co: 0.500 0.500 0.500
Co: 0.667 0.333 0.162
Co: 0.667 0.333 0.338
Co: 0.667 0.333 0.627
Co: 0.667 0.333 0.873
Co: 0.673 0.836 0.250
Co: 0.836 0.164 0.750
Co: 0.836 0.673 0.750

Calculated formation energy: -0.0464 eV/atom

First-principles (PBE-GGA) data for crystalline LaTaNb at its relaxed geometry, as listed in OQMD.

Cell: 4.749 4.749 4.749 Å, 60.00 60.00 60.00°
Fractional positions:
La: 0.000 0.000 0.000
Ta: 0.250 0.250 0.250
Nb: 0.500 0.500 0.500

Calculated formation energy: 0.8533 eV/atom

First-principles (PBE-GGA) data for crystalline AcZr2 at its relaxed geometry, as listed in OQMD.

Cell: 6.354 6.354 5.413 Å, 90.00 90.00 53.49°
Fractional positions:
Ac: 0.217 0.783 0.750
Ac: 0.783 0.217 0.250
Zr: 0.143 0.469 0.250
Zr: 0.469 0.143 0.750
Zr: 0.531 0.857 0.250
Zr: 0.857 0.531 0.750

Calculated formation energy: 0.2011 eV/atom

First-principles (PBE-GGA) data for crystalline MgSiNiPt at its relaxed geometry, as listed in OQMD.

Cell: 4.249 4.249 4.249 Å, 60.00 60.00 60.00°
Fractional positions:
Mg: 0.000 0.000 0.000
Si: 0.500 0.500 0.500
Ni: 0.750 0.750 0.750
Pt: 0.250 0.250 0.250

First-principles (PBE-GGA) data for crystalline ZrFeGeOs at its relaxed geometry, as listed in OQMD.

Cell: 4.497 4.497 4.497 Å, 60.00 60.00 60.00°
Fractional positions:
Zr: 0.000 0.000 0.000
Fe: 0.500 0.500 0.500
Ge: 0.250 0.250 0.250
Os: 0.750 0.750 0.750

First-principles (PBE-GGA) data for crystalline Tb2DyNiPd2Pb3 at its relaxed geometry, as listed in OQMD.

Cell: 3.831 7.802 7.802 Å, 119.94 90.00 90.00°
Fractional positions:
Tb: 0.000 0.200 0.800
Tb: 0.000 0.800 0.200
Dy: 0.000 0.399 0.399
Ni: 0.000 0.799 0.799
Pd: 0.500 0.134 0.466
Pd: 0.500 0.466 0.134
Pb: 0.500 0.056 0.056
Pb: 0.500 0.544 0.799
Pb: 0.500 0.799 0.544

First-principles (PBE-GGA) data for crystalline CoTcNiSn at its relaxed geometry, as listed in OQMD.

Cell: 4.300 4.300 4.300 Å, 60.00 60.00 60.00°
Fractional positions:
Co: 0.000 0.000 0.000
Tc: 0.250 0.250 0.250
Ni: 0.500 0.500 0.500
Sn: 0.750 0.750 0.750

First-principles (PBE-GGA) data for crystalline Li2Sc2GaSiPd2 at its relaxed geometry, as listed in OQMD.

Cell: 4.422 4.422 6.307 Å, 90.00 90.00 90.00°
Fractional positions:
Li: 0.000 0.500 0.247
Li: 0.500 0.000 0.753
Sc: 0.000 0.000 0.000
Sc: 0.500 0.500 0.500
Ga: 0.000 0.000 0.500
Si: 0.500 0.500 0.000
Pd: 0.000 0.500 0.759
Pd: 0.500 0.000 0.241

First-principles (PBE-GGA) data for crystalline ErTm2Mg3Pd2Pt at its relaxed geometry, as listed in OQMD.

Cell: 4.098 7.319 7.319 Å, 119.99 90.00 90.00°
Fractional positions:
Er: 0.000 0.000 0.000
Tm: 0.000 0.407 0.813
Tm: 0.000 0.813 0.407
Mg: 0.500 0.161 0.407
Mg: 0.500 0.407 0.161
Mg: 0.500 0.652 0.652
Pd: 0.500 0.074 0.740
Pd: 0.500 0.740 0.074
Pt: 0.000 0.408 0.408

First-principles (PBE-GGA) data for crystalline PuPaB at its relaxed geometry, as listed in OQMD.

Cell: 4.318 4.318 4.318 Å, 60.00 60.00 60.00°
Fractional positions:
Pu: 0.000 0.000 0.000
Pa: 0.500 0.500 0.500
B: 0.750 0.750 0.750

First-principles (PBE-GGA) data for crystalline SmTaIr at its relaxed geometry, as listed in OQMD.

Cell: 4.577 4.577 4.577 Å, 60.00 60.00 60.00°
Fractional positions:
Sm: 0.000 0.000 0.000
Ta: 0.250 0.250 0.250
Ir: 0.750 0.750 0.750

Calculated formation energy: 1.1571 eV/atom

First-principles (PBE-GGA) data for crystalline HfMgCu2 at its relaxed geometry, as listed in OQMD.

Cell: 3.181 3.181 6.474 Å, 90.00 90.00 90.00°
Fractional positions:
Hf: 0.000 0.000 0.000
Mg: 0.000 0.000 0.500
Cu: 0.500 0.500 0.244
Cu: 0.500 0.500 0.756

First-principles (PBE-GGA) data for crystalline SmMgCdAs2 at its relaxed geometry, as listed in OQMD.

Cell: 4.424 4.424 7.056 Å, 90.00 90.00 120.00°
Fractional positions:
Sm: 0.000 0.000 0.000
Mg: 0.333 0.667 0.362
Cd: 0.667 0.333 0.638
As: 0.333 0.667 0.752
As: 0.667 0.333 0.239

First-principles (PBE-GGA) data for crystalline DyHoSbI2 at its relaxed geometry, as listed in OQMD.

Cell: 4.324 4.324 11.141 Å, 90.00 90.00 120.00°
Fractional positions:
Dy: 0.000 0.000 0.000
Ho: 0.333 0.667 0.302
Sb: 0.667 0.333 0.151
I: 0.000 0.000 0.475
I: 0.333 0.667 0.827

First-principles (PBE-GGA) data for crystalline Dy4NiPd3 at its relaxed geometry, as listed in OQMD.

Cell: 5.582 4.454 7.070 Å, 90.00 90.29 90.00°
Fractional positions:
Dy: 0.000 0.000 0.000
Dy: 0.217 0.000 0.511
Dy: 0.496 0.500 0.142
Dy: 0.722 0.500 0.646
Ni: 0.214 0.500 0.785
Pd: 0.009 0.500 0.279
Pd: 0.496 0.000 0.863
Pd: 0.708 0.000 0.368

Calculated formation energy: -0.8030 eV/atom

First-principles (PBE-GGA) data for crystalline LuSnPt at its relaxed geometry, as listed in OQMD.

Cell: 7.416 7.416 3.977 Å, 90.00 90.00 120.00°
Fractional positions:
Lu: 0.000 0.594 0.000
Lu: 0.406 0.406 0.000
Lu: 0.594 0.000 0.000
Sn: 0.000 0.260 0.500
Sn: 0.260 0.000 0.500
Sn: 0.740 0.740 0.500
Pt: 0.000 0.000 0.000
Pt: 0.333 0.667 0.500
Pt: 0.667 0.333 0.500

First-principles (PBE-GGA) data for crystalline SrZrNO at its relaxed geometry, as listed in OQMD.

Cell: 4.629 4.629 6.218 Å, 90.00 90.00 90.00°
Fractional positions:
Sr: 0.250 0.750 0.000
Sr: 0.750 0.250 0.000
Zr: 0.250 0.250 0.456
Zr: 0.750 0.750 0.544
N: 0.250 0.250 0.145
N: 0.750 0.750 0.855
O: 0.250 0.750 0.500
O: 0.750 0.250 0.500

First-principles (PBE-GGA) data for crystalline SrReNO at its relaxed geometry, as listed in OQMD.

Cell: 4.586 4.586 5.729 Å, 90.00 90.00 90.00°
Fractional positions:
Sr: 0.250 0.750 0.000
Sr: 0.750 0.250 0.000
Re: 0.250 0.250 0.478
Re: 0.750 0.750 0.522
N: 0.250 0.250 0.153
N: 0.750 0.750 0.847
O: 0.250 0.750 0.500
O: 0.750 0.250 0.500

First-principles (PBE-GGA) data for crystalline PrCdCo at its relaxed geometry, as listed in OQMD.

Cell: 4.840 4.840 4.840 Å, 60.00 60.00 60.00°
Fractional positions:
Pr: 0.000 0.000 0.000
Cd: 0.750 0.750 0.750
Co: 0.250 0.250 0.250

Calculated formation energy: 0.7078 eV/atom

First-principles (PBE-GGA) data for crystalline PmTmNi at its relaxed geometry, as listed in OQMD.

Cell: 4.744 4.744 4.744 Å, 60.00 60.00 60.00°
Fractional positions:
Pm: 0.000 0.000 0.000
Tm: 0.500 0.500 0.500
Ni: 0.250 0.250 0.250

Calculated formation energy: -0.1348 eV/atom

| no. | uncorrected energy (eV/atom) |
| --- | --- |
| 1 | -7.944 |
| 2 | -8.103 |
| 3 | -6.866 |
| 4 | -5.171 |
| 5 | -8.098 |
| 6 | -5.201 |
| 7 | -6.605 |
| 8 | -5.120 |
| 9 | -4.631 |
| 10 | -10.050 |
| 11 | -7.316 |
| 12 | -4.841 |
| 13 | -3.997 |
| 14 | -4.529 |
| 15 | -5.740 |
| 16 | -5.937 |
| 17 | -7.550 |
| 18 | -6.878 |
| 19 | -3.551 |
| 20 | -5.064 |